[1]
Zn2Ni2Au | PBE | optimized geometry

a b c (Å): 7.0326 7.0326 2.7540
angles (deg): 90.00 90.00 90.00
Sites, in units of the cell vectors:
Ni1 0.3749 0.8749 0.0000
Ni2 0.8749 0.6251 0.0000
Ni3 0.6251 0.1251 0.0000
Ni4 0.1251 0.3749 0.0000
Zn1 0.1694 0.6694 0.5000
Zn2 0.6694 0.8306 0.5000
Zn3 0.8306 0.3306 0.5000
Zn4 0.3306 0.1694 0.5000
Au1 0.0000 0.0000 0.0000
Au2 0.5000 0.5000 0.0000

Output
- E_form: -0.13 eV per atom
- SG: P4/mbm
- Uncorrected energy: -36.049 eV/cell
- V: 13.620 A^3/atom
- Total moment: 0.00 μB/f.u.

=====

[2]
PHWS2 | PBE | optimized geometry

a b c (Å): 4.6668 4.6668 4.7648
angles (deg): 90.00 90.00 90.00
Sites, in units of the cell vectors:
P1 0.0000 0.0000 0.5000
S1 0.0000 0.5000 0.0000
S2 0.5000 0.0000 0.0000
W1 0.0000 0.0000 0.0000
H1 0.5000 0.5000 0.5000

Output
- SG: P4/mmm
- Uncorrected energy: -26.758 eV/cell
- V: 20.754 A^3/atom
- Total moment: 0.91 μB/f.u.

=====

Q: What is the formula in the second record?
A: PHWS2

=====

Q: Which formula does entry 1 have?
A: Zn2Ni2Au